# In2Sn2Se, relaxed, DFT GGA-PBE
# **Total DFT energy (no corrections)**: -33.93 eV/cell
# **Space group**: P4/mbm
# **Polymorph energy (0 for the lowest one)**: 0 meV per atom
# **ΔE_f (raw)**: 0 kJ per mole of atoms
data_In2Sn2Se
_chemical_formula_sum 'In4 Sn4 Se2'
_cell_length_a 7.9017
_cell_length_b 7.9017
_cell_length_c 4.5333
_cell_angle_alpha 90.00
_cell_angle_beta 90.00
_cell_angle_gamma 90.00
_symmetry_space_group_name_H-M 'P 1'
_symmetry_Int_Tables_number 1
_symmetry_space_group_name_Hall 'P 1'
loop_
_atom_site_label
_atom_site_fract_x
_atom_site_fract_y
_atom_site_fract_z
Sn1 0.3506 0.8506 0.0000
Sn2 0.8506 0.6494 0.0000
Sn3 0.6494 0.1494 0.0000
Sn4 0.1494 0.3506 0.0000
Se1 0.0000 0.0000 0.0000
Se2 0.5000 0.5000 0.0000
In1 0.1585 0.6585 0.5000
In2 0.6585 0.8415 0.5000
In3 0.8415 0.3415 0.5000
In4 0.3415 0.1585 0.5000

---

# In2Sn2Se, relaxed, DFT GGA-PBE
# **Total DFT energy (no corrections)**: -33.34 eV/cell
# **Space group**: P4/mbm
# **Polymorph energy (0 for the lowest one)**: 59 meV per atom
# **ΔE_f (raw)**: 6 kJ per mole of atoms
data_In2Sn2Se
_chemical_formula_sum 'In4 Sn4 Se2'
_cell_length_a 8.0267
_cell_length_b 8.0267
_cell_length_c 4.3403
_cell_angle_alpha 90.00
_cell_angle_beta 90.00
_cell_angle_gamma 90.00
_symmetry_space_group_name_H-M 'P 1'
_symmetry_Int_Tables_number 1
_symmetry_space_group_name_Hall 'P 1'
loop_
_atom_site_label
_atom_site_fract_x
_atom_site_fract_y
_atom_site_fract_z
Sn1 0.1315 0.6315 0.5000
Sn2 0.6315 0.8685 0.5000
Sn3 0.8685 0.3685 0.5000
Sn4 0.3685 0.1315 0.5000
Se1 0.0000 0.0000 0.0000
Se2 0.5000 0.5000 0.0000
In1 0.3309 0.8309 0.0000
In2 0.8309 0.6691 0.0000
In3 0.6691 0.1691 0.0000
In4 0.1691 0.3309 0.0000